# CaAs2Pd7Pb2 | Alexandria via LeMat-Bulk | PBE-GGA | optimized geometry
# calculated volume = 19.96 Å³ per atom
# crystal system = monoclinic
# DFT formation energy = -366 meV/atom
# total magnetization = 0.0 μB per formula unit
data_CaAs2Pd7Pb2
_chemical_formula_sum 'Ca2 As4 Pd14 Pb4'
_symmetry_space_group_name_H-M 'C 1 2/m 1'
_symmetry_Int_Tables_number 12
_cell_length_a 5.785
_cell_length_b 5.781
_cell_length_c 14.424
_cell_angle_alpha 90.00
_cell_angle_beta 96.73
_cell_angle_gamma 90.00
loop_
_symmetry_equiv_pos_as_xyz
'x,y,z'
'-x,-y,-z'
'-x,y,-z'
'x,-y,z'
'x+1/2,y+1/2,z'
'-x+1/2,-y+1/2,-z'
'-x+1/2,y+1/2,-z'
'x+1/2,-y+1/2,z'
loop_
_atom_site_label
_atom_site_fract_x
_atom_site_fract_y
_atom_site_fract_z
Ca1 0.000 0.000 0.000
As1 0.074 0.500 0.247
Pd1 0.000 0.500 0.000
Pd2 0.112 0.500 0.420
Pd3 0.204 0.250 0.849
Pb1 0.113 0.000 0.392